[1]
A plane-wave DFT calculation with PBE was carried out for an optimized crystal structure of Cd2AgTe.

a = 3.0413 Å, b = 4.0296 Å, c = 7.8501 Å
α = 90.00°, β = 90.00°, γ = 90.00°
With the nearest neighbours (Å) after each atom.
Fractional positions:
Cd 0.0000 0.0000 0.2110  4 Ag 3.02, 3 Cd 3.04-3.31
Cd 0.0000 0.0000 0.7890  4 Ag 3.02, 3 Cd 3.04-3.31
Ag 0.5000 0.5000 0.0000  8 Cd 3.02, 2 Ag 3.04
Te 0.5000 0.5000 0.5000  2 Te 3.04, 8 Cd 3.39

Calculated values
SG: Pmmm, No. 47

[2]
A plane-wave DFT calculation with PBE was carried out for an optimized crystal structure of CdAgTe2.

a = 7.5383 Å, b = 4.2276 Å, c = 7.2690 Å
α = 90.00°, β = 110.08°, γ = 90.00°
With the nearest neighbours (Å) after each atom.
Fractional positions:
Cd 0.0000 0.0000 0.0000  6 Te 2.95-3.25
Cd 0.5000 0.5000 0.0000  6 Te 2.95-3.25
Ag 0.0000 0.5000 0.5000  6 Te 2.82-3.05
Ag 0.5000 0.0000 0.5000  6 Te 2.82-3.05
Te 0.2249 0.5000 0.2597  3 Ag 2.82-3.05, 2 Cd 2.95
Te 0.2751 0.0000 0.7403  3 Ag 2.82-3.05, 2 Cd 2.95
Te 0.7249 0.0000 0.2597  3 Ag 2.82-3.05, 2 Cd 2.95
Te 0.7751 0.5000 0.7403  3 Ag 2.82-3.05, 2 Cd 2.95

Calculated values
SG: C2/m, No. 12

| no. | E_form (uncorrected) (eV/atom) |
| --- | --- |
| 1 | 0.043 |
| 2 | -0.123 |